Here is an optimized crystal structure of Gd2CdSb from the Alexandria database. Energies are from PBE-GGA.

Unit cell a=3.9667 b=3.9667 c=6.8806 alpha=90.00 beta=90.00 gamma=90.00
Last column: nearest neighbours and their distance in Å.
Fractional coordinates of all 4 atoms:
Gd 0.0000 0.0000 0.2426  4 Sb 3.26, 4 Cd 3.32, 2 Gd 3.34-3.54
Gd 0.0000 0.0000 0.7574  4 Sb 3.26, 4 Cd 3.32, 2 Gd 3.34-3.54
Cd 0.5000 0.5000 0.5000  8 Gd 3.32, 2 Sb 3.44
Sb 0.5000 0.5000 0.0000  8 Gd 3.26, 2 Cd 3.44

## Properties
E above lowest polymorph (eV/atom): 0.0000
Fermi-level density of states (states/eV/cell): 3.4
Uncorrected energy (eV/cell): -35.93
E_form (uncorrected) (meV/atom): -683



Here is an optimized crystal structure of NpBiAu4 from the Alexandria database. Energies are from PBE-GGA.

Unit cell a=4.8903 b=4.8903 c=6.4177 alpha=90.00 beta=90.00 gamma=120.00
Last column: nearest neighbours and their distance in Å.
Fractional coordinates of all 6 atoms:
Np 0.0000 0.0000 0.0000  12 Au 3.21, 2 Bi 3.21
Bi 0.0000 0.0000 0.5000  2 Np 3.21, 12 Au 3.29
Au 0.3333 0.6667 0.2372  4 Au 2.82-3.04
Au 0.3333 0.6667 0.7628  4 Au 2.82-3.04
Au 0.6667 0.3333 0.2372  4 Au 2.82-3.04
Au 0.6667 0.3333 0.7628  4 Au 2.82-3.04

## Properties
E above lowest polymorph (eV/atom): 0.0000
Fermi-level density of states (states/eV/cell): 12.8
Uncorrected energy (eV/cell): -30.66
E_form (meV/atom): -121.9



Here is an optimized crystal structure of Tm5Cu2Pt from the Alexandria database. Energies are from PBE-GGA.

Unit cell a=9.0350 b=9.0350 c=9.0350 alpha=134.65 beta=134.65 gamma=66.08
Last column: nearest neighbours and their distance in Å.
Fractional coordinates of all 16 atoms:
Tm 0.0000 0.0000 0.0000  4 Cu 2.76
Tm 0.0239 0.5239 0.8479  2 Pt 2.99, 3 Cu 3.02-3.10
Tm 0.1760 0.0239 0.5000  2 Pt 2.99, 3 Cu 3.02-3.10
Tm 0.3240 0.8240 0.8479  2 Pt 2.99, 3 Cu 3.02-3.10
Tm 0.4761 0.3240 0.5000  2 Pt 2.99, 3 Cu 3.02-3.10
Tm 0.5000 0.5000 0.0000  4 Cu 2.76
Tm 0.5239 0.6760 0.5000  2 Pt 2.99, 3 Cu 3.02-3.10
Tm 0.6760 0.1760 0.1521  2 Pt 2.99, 3 Cu 3.02-3.10
Tm 0.8240 0.9761 0.5000  2 Pt 2.99, 3 Cu 3.02-3.10
Tm 0.9761 0.4761 0.1521  2 Pt 2.99, 3 Cu 3.02-3.10
Cu 0.1236 0.3764 0.5000  1 Cu 2.44
Cu 0.3764 0.8764 0.2528  1 Cu 2.44
Cu 0.6236 0.1236 0.7472  1 Cu 2.44
Cu 0.8764 0.6236 0.5000  1 Cu 2.44
Pt 0.2500 0.2500 0.0000  8 Tm 2.99
Pt 0.7500 0.7500 0.0000  8 Tm 2.99

## Properties
Fermi-level density of states (states/eV/cell): 18.4
Uncorrected energy (eV/cell): -81.07
E_form (meV/atom): -493.3



Here is an optimized crystal structure of Sb3SeCl from the Alexandria database. Energies are from PBE-GGA.

Unit cell a=5.4592 b=5.4592 c=5.4592 alpha=90.00 beta=90.00 gamma=90.00
Last column: nearest neighbours and their distance in Å.
Fractional coordinates of all 5 atoms:
Sb 0.0000 0.0000 0.5000  2 Se 2.73
Sb 0.0000 0.5000 0.0000  2 Se 2.73
Sb 0.5000 0.0000 0.0000  2 Se 2.73
Se 0.0000 0.0000 0.0000  6 Sb 2.73
Cl 0.5000 0.5000 0.5000  12 Sb 3.86

## Properties
E above lowest polymorph (eV/atom): 0.0000
Fermi-level density of states (states/eV/cell): 4.2
Uncorrected energy (eV/cell): -14.80
E_form (uncorrected) (meV/atom): 580



Here is an optimized crystal structure of NbBr3O from the Alexandria database. Energies are from PBE-GGA.

Unit cell a=12.7124 b=12.7124 c=3.9791 alpha=90.00 beta=90.00 gamma=90.00
Last column: nearest neighbours and their distance in Å.
Fractional coordinates of all 20 atoms:
Nb 0.1175 0.3825 0.2015  1 O 1.81
Nb 0.3825 0.8825 0.7985  1 O 1.81
Nb 0.6175 0.1175 0.7985  1 O 1.81
Nb 0.8825 0.6175 0.2015  1 O 1.81
Br 0.0939 0.1913 0.2557  1 Nb 2.46
Br 0.0958 0.5958 0.2652  2 Nb 2.74
Br 0.1913 0.9061 0.7443  1 Nb 2.46
Br 0.3087 0.4061 0.2557  1 Nb 2.46
Br 0.4042 0.0958 0.7348  2 Nb 2.74
Br 0.4061 0.6913 0.7443  1 Nb 2.46
Br 0.5939 0.3087 0.7443  1 Nb 2.46
Br 0.5958 0.9042 0.7348  2 Nb 2.74
Br 0.6913 0.5939 0.2557  1 Nb 2.46
Br 0.8087 0.0939 0.7443  1 Nb 2.46
Br 0.9042 0.4042 0.2652  2 Nb 2.74
Br 0.9061 0.8087 0.2557  1 Nb 2.46
O 0.1096 0.3904 0.7484  1 Nb 1.81
O 0.3904 0.8904 0.2516  1 Nb 1.81
O 0.6096 0.1096 0.2516  1 Nb 1.81
O 0.8904 0.6096 0.7484  1 Nb 1.81

## Properties
Fermi-level density of states (states/eV/cell): 0.0
Uncorrected energy (eV/cell): -107.19
E_form (uncorrected) (meV/atom): -1350



Here is an optimized crystal structure of Li6YPb6 from the Alexandria database. Energies are from PBE-GGA.

Unit cell a=7.6448 b=7.6448 c=7.6448 alpha=134.61 beta=101.99 gamma=95.16
Last column: nearest neighbours and their distance in Å.
Fractional coordinates of all 13 atoms:
Li 0.0000 0.0000 0.5000  4 Li 2.95-2.97, 6 Pb 2.95-3.09
Li 0.0000 0.5000 0.0000  4 Li 2.95-2.97, 6 Pb 2.95-3.09
Li 0.2485 0.0000 0.2485  6 Pb 2.93-3.08, 4 Li 2.97
Li 0.5000 0.0000 0.0000  4 Li 2.95-2.97, 6 Pb 2.95-3.09
Li 0.5000 0.5000 0.5000  4 Li 2.95-2.97, 6 Pb 2.95-3.09
Li 0.7515 0.0000 0.7515  6 Pb 2.93-3.08, 4 Li 2.97
Y 0.0000 0.5000 0.5000  8 Pb 3.27-3.45
Pb 0.1634 0.1634 0.0000  6 Li 2.93-2.96
Pb 0.3346 0.8346 0.5000  6 Li 2.95-2.96
Pb 0.3401 0.5000 0.8401  1 Pb 3.08, 6 Li 3.08-3.09, 1 Y 3.27
Pb 0.6599 0.5000 0.1599  1 Pb 3.08, 6 Li 3.08-3.09, 1 Y 3.27
Pb 0.6654 0.1654 0.5000  6 Li 2.95-2.96
Pb 0.8366 0.8366 0.0000  6 Li 2.93-2.96

## Properties
Fermi-level density of states (states/eV/cell): 5.1
Uncorrected energy (eV/cell): -43.92
E_form (meV/atom): -286.0



Here is an optimized crystal structure of Tl2ReIr from the Alexandria database. Energies are from PBE-GGA.

Unit cell a=3.0844 b=3.0844 c=27.1309 alpha=90.00 beta=90.00 gamma=120.00
Last column: nearest neighbours and their distance in Å.
Fractional coordinates of all 12 atoms:
Tl 0.0000 0.0000 0.2485  3 Ir 2.85, 3 Re 2.91, 6 Tl 3.08
Tl 0.0000 0.0000 0.7515  3 Ir 2.85, 3 Re 2.91, 6 Tl 3.08
Tl 0.3333 0.6667 0.4182  3 Ir 2.85, 3 Re 2.91, 6 Tl 3.08
Tl 0.3333 0.6667 0.9152  3 Ir 2.85, 3 Re 2.91, 6 Tl 3.08
Tl 0.6667 0.3333 0.0848  3 Ir 2.85, 3 Re 2.91, 6 Tl 3.08
Tl 0.6667 0.3333 0.5818  3 Ir 2.85, 3 Re 2.91, 6 Tl 3.08
Re 0.0000 0.0000 0.0000  6 Tl 2.91, 6 Re 3.08
Re 0.3333 0.6667 0.6667  6 Tl 2.91, 6 Re 3.08
Re 0.6667 0.3333 0.3333  6 Tl 2.91, 6 Re 3.08
Ir 0.0000 0.0000 0.5000  6 Tl 2.85, 6 Ir 3.08
Ir 0.3333 0.6667 0.1667  6 Tl 2.85, 6 Ir 3.08
Ir 0.6667 0.3333 0.8333  6 Tl 2.85, 6 Ir 3.08

## Properties
E above lowest polymorph (eV/atom): 0.4959
Fermi-level density of states (states/eV/cell): 10.5
Uncorrected energy (eV/cell): -66.75
E_form (meV/atom): 947.8



Here is an optimized crystal structure of TaGe2Au from the Alexandria database. Energies are from PBE-GGA.

Unit cell a=7.1236 b=7.1236 c=5.9230 alpha=90.00 beta=90.00 gamma=90.00
Last column: nearest neighbours and their distance in Å.
Fractional coordinates of all 16 atoms:
Ta 0.0000 0.0000 0.0000  4 Ge 2.68, 2 Au 2.96
Ta 0.0000 0.5000 0.2500  4 Ge 2.68, 2 Au 2.96
Ta 0.5000 0.0000 0.7500  4 Ge 2.68, 2 Au 2.96
Ta 0.5000 0.5000 0.5000  4 Ge 2.68, 2 Au 2.96
Ge 0.2394 0.2500 0.6250  2 Au 2.57, 2 Ta 2.68
Ge 0.2500 0.7394 0.8750  2 Au 2.57, 2 Ta 2.68
Ge 0.2500 0.7606 0.3750  2 Au 2.57, 2 Ta 2.68
Ge 0.2606 0.2500 0.1250  2 Au 2.57, 2 Ta 2.68
Ge 0.7394 0.7500 0.1250  2 Au 2.57, 2 Ta 2.68
Ge 0.7500 0.2394 0.3750  2 Au 2.57, 2 Ta 2.68
Ge 0.7500 0.2606 0.8750  2 Au 2.57, 2 Ta 2.68
Ge 0.7606 0.7500 0.6250  2 Au 2.57, 2 Ta 2.68
Au 0.0000 0.0000 0.5000  4 Ge 2.57
Au 0.0000 0.5000 0.7500  4 Ge 2.57
Au 0.5000 0.0000 0.2500  4 Ge 2.57
Au 0.5000 0.5000 0.0000  4 Ge 2.57

## Properties
E above lowest polymorph (eV/atom): 0.3887
Fermi-level density of states (states/eV/cell): 12.4
Uncorrected energy (eV/cell): -91.44
E_form (meV/atom): 376.3



Here is an optimized crystal structure of Cs3TlIr from the Alexandria database. Energies are from PBE-GGA.

Unit cell a=6.3865 b=6.3865 c=6.3865 alpha=90.00 beta=90.00 gamma=90.00
Last column: nearest neighbours and their distance in Å.
Fractional coordinates of all 5 atoms:
Cs 0.0000 0.0000 0.5000  2 Ir 3.19
Cs 0.0000 0.5000 0.0000  2 Ir 3.19
Cs 0.5000 0.0000 0.0000  2 Ir 3.19
Tl 0.5000 0.5000 0.5000  12 Cs 4.52
Ir 0.0000 0.0000 0.0000  6 Cs 3.19

## Properties
Fermi-level density of states (states/eV/cell): 7.5
Uncorrected energy (eV/cell): -10.34
E_form (meV/atom): 689.3



Here is an optimized crystal structure of Ba2LiSb3Pd4 from the Alexandria database. Energies are from PBE-GGA.

Unit cell a=4.7082 b=4.7082 c=10.8499 alpha=90.00 beta=90.00 gamma=90.00
Last column: nearest neighbours and their distance in Å.
Fractional coordinates of all 10 atoms:
Ba 0.0000 0.5000 0.2495  6 Sb 3.58-3.60, 8 Pd 3.59-3.61, 2 Li 3.60
Ba 0.5000 0.0000 0.7505  6 Sb 3.58-3.60, 8 Pd 3.59-3.61, 2 Li 3.60
Li 0.0000 0.0000 0.5000  4 Pd 2.71
Sb 0.0000 0.5000 0.8727  5 Pd 2.71-2.73
Sb 0.5000 0.0000 0.1273  5 Pd 2.71-2.73
Sb 0.5000 0.5000 0.5000  4 Pd 2.71
Pd 0.0000 0.0000 0.0000  4 Sb 2.73
Pd 0.0000 0.5000 0.6229  2 Li 2.71, 3 Sb 2.71
Pd 0.5000 0.0000 0.3771  2 Li 2.71, 3 Sb 2.71
Pd 0.5000 0.5000 0.0000  4 Sb 2.73

## Properties
Fermi-level density of states (states/eV/cell): 5.0
Uncorrected energy (eV/cell): -46.88
E_form (uncorrected) (meV/atom): -799